The following is a DFT calculation (GGA-PBE) of HfBiB4 after structural relaxation.

Results
- Total magnetic moment: 0.0 μB per cell
- Calculated volume: 11.578 A^3/atom
- Density: 10.295 g cm⁻³
- Energy relative to the lowest polymorph listed for this composition: 0.228 eV per atom

The structure in extended XYZ format:
```
6
Lattice="-1.572 2.792 3.957 1.572 -2.792 3.957 1.572 2.792 -3.957" Properties=species:S:1:pos:R:3 pbc="T T T"
Hf 0.000 0.000 0.000
Bi 0.000 0.000 3.957
B 1.572 -0.932 1.937
B 1.572 0.932 1.937
B 0.000 1.859 2.020
B 0.000 3.724 2.020
```